An optimized crystal structure of YAlCo2C, computed with PBE-GGA.

ΔE to the lowest computed polymorph = 1187 meV/atom
energy of formation = 795.7 meV per atom
magnetization = 2.0 μB per formula unit
VASP energy = -29.664 eV/f.u.
SG = No. 123

Cell lengths 4.4772, 4.4772, 3.8980 Å; angles 90.00, 90.00, 90.00 degrees
Closest atoms and distances in Å follow each position.
Sites, in units of the cell vectors:
1 Y 0.0000 0.0000 0.0000  8 Co 2.97, 4 C 3.17
2 Al 0.5000 0.5000 0.5000  2 C 1.95
3 Co 0.0000 0.5000 0.5000  2 Al 2.24
4 Co 0.5000 0.0000 0.5000  2 Al 2.24
5 C 0.5000 0.5000 0.0000  2 Al 1.95